No. 1
The following is a DFT calculation (PBE) of ZrSnH2F after structural relaxation.

abc: 4.227 4.183 4.227
angles: 90.00 90.00 90.00
Positions (direct):
H 0.000 0.000 0.500
H 0.500 0.000 0.000
Sn 0.000 0.500 0.000
Zr 0.500 0.500 0.500
F 0.000 0.000 0.000

Values from the calculation:
Volume in A^3/atom: 14.95
Energy in eV per atom: -4.04
Symmetry: P4/mmm (123)

=====

No. 2
The following is a DFT calculation (PBE) of Ac2In3Ga4 after structural relaxation.

abc: 6.382 8.605 8.925
angles: 90.00 110.95 90.00
Positions (direct):
Ac 0.113 0.582 0.227
Ac 0.887 0.418 0.773
Ac 0.387 0.082 0.773
Ac 0.613 0.918 0.227
In 0.000 0.000 0.000
In 0.500 0.500 0.000
In 0.535 0.750 0.570
In 0.965 0.250 0.430
In 0.465 0.250 0.430
In 0.035 0.750 0.570
Ga 0.701 0.750 0.902
Ga 0.799 0.250 0.098
Ga 0.299 0.250 0.098
Ga 0.201 0.750 0.902
Ga 0.181 0.959 0.362
Ga 0.819 0.041 0.638
Ga 0.319 0.459 0.638
Ga 0.681 0.541 0.362

Values from the calculation:
Volume in A^3/atom: 25.43
Energy in eV per atom: -3.55
Symmetry: Cmce (64)
Energy relative to the elements in eV per atom: -0.380

=====

No. 3
The following is a DFT calculation (PBE) of PmSm2TmSe5 after structural relaxation.

abc: 5.083 5.083 10.897
angles: 90.00 90.00 90.00
Positions (direct):
Pm 0.000 0.000 0.000
Sm 0.500 0.500 0.333
Sm 0.500 0.500 0.667
Tm 0.000 0.000 0.500
Se 0.000 0.500 0.500
Se 0.500 0.000 0.500
Se 0.000 0.000 0.749
Se 0.000 0.000 0.251
Se 0.500 0.500 0.000

Values from the calculation:
Volume in A^3/atom: 31.29
Energy in eV per atom: -5.27
Symmetry: P4/mmm (123)

=====

No. 4
The following is a DFT calculation (PBE) of In2AgSe3 after structural relaxation.

abc: 4.044 8.837 10.837
angles: 101.71 100.75 90.00
Positions (direct):
In 0.275 0.637 0.550
In 0.725 0.363 0.450
In 0.947 0.813 0.893
In 0.053 0.187 0.107
Ag 0.342 0.086 0.685
Ag 0.658 0.914 0.315
Se 0.231 0.162 0.463
Se 0.074 0.903 0.148
Se 0.406 0.627 0.811
Se 0.769 0.838 0.537
Se 0.594 0.373 0.189
Se 0.926 0.097 0.852

Values from the calculation:
Volume in A^3/atom: 31.02
Energy in eV per atom: -3.47
Symmetry: C2/m (12)

=====

No. 5
The following is a DFT calculation (PBE) of Li2LaTa after structural relaxation.

abc: 5.462 5.462 5.462
angles: 133.94 133.94 67.18
Positions (direct):
La 0.750 0.250 0.500
Li 0.000 0.000 0.000
Li 0.250 0.750 0.500
Ta 0.500 0.500 0.000

Values from the calculation:
Volume in A^3/atom: 20.77
Energy in eV per atom: -4.50
Symmetry: I-4m2 (119)
E above lowest polymorph in meV per atom: 313
Energy relative to the elements in eV per atom: 0.655

=====

No. 6
The following is a DFT calculation (PBE) of BaAsSe2 after structural relaxation.

abc: 3.784 3.784 7.286
angles: 90.00 90.00 90.00
Positions (direct):
As 0.500 0.500 0.250
Ba 0.500 0.500 0.750
Se 0.000 0.000 0.029
Se 0.000 0.000 0.471

Values from the calculation:
Volume in A^3/atom: 26.08
Energy in eV per atom: -3.82
Symmetry: P4/mmm (123)

=====

No. 7
The following is a DFT calculation (PBE) of Sm4Bi3C after structural relaxation.

abc: 6.422 9.813 8.665
angles: 90.00 90.00 90.00
Positions (direct):
Sm 0.062 0.961 0.000
Sm 0.626 0.207 0.000
Sm 0.072 0.321 0.228
Sm 0.572 0.679 0.272
Sm 0.126 0.793 0.500
Sm 0.562 0.039 0.500
Sm 0.572 0.679 0.728
Sm 0.072 0.321 0.772
Bi 0.557 0.901 0.000
Bi 0.065 0.647 0.185
Bi 0.565 0.353 0.315
Bi 0.057 0.099 0.500
Bi 0.565 0.353 0.685
Bi 0.065 0.647 0.815
C 0.995 0.200 0.000
C 0.495 0.800 0.500

Values from the calculation:
Volume in A^3/atom: 34.13
Energy in eV per atom: -5.39
Symmetry: Pmn2_1 (31)
Energy relative to the elements in eV per atom: -0.424

=====

No. 8
The following is a DFT calculation (PBE) of Ca2CuRh2 after structural relaxation.

abc: 6.735 6.735 4.366
angles: 90.00 90.00 90.00
Site moments in Bohr magnetons follow the coordinates.
Positions (direct):
Ca 0.175 0.675 0.500  -0.01
Ca 0.675 0.825 0.500  -0.01
Ca 0.825 0.325 0.500  -0.01
Ca 0.325 0.175 0.500  -0.01
Rh 0.364 0.864 0.000  0.27
Rh 0.864 0.636 0.000  0.23
Rh 0.636 0.136 0.000  0.27
Rh 0.136 0.364 0.000  0.23
Cu 0.000 0.000 0.000  0.07
Cu 0.500 0.500 0.000  0.08

Values from the calculation:
Volume in A^3/atom: 19.80
Energy in eV per atom: -4.82
Symmetry: P4/mbm (127)
Energy relative to the elements in eV per atom: -0.256

=====

No. 9
The following is a DFT calculation (PBE) of Zn2AsP after structural relaxation.

abc: 5.059 2.790 4.798
angles: 89.99 90.00 90.00
Positions (direct):
Zn 0.000 0.143 0.875
Zn 0.500 0.502 0.375
As 0.000 0.665 0.375
P 0.500 0.190 0.875

Values from the calculation:
Volume in A^3/atom: 16.93
Energy in eV per atom: -3.02
Symmetry: Pmm2 (25)
E above lowest polymorph in meV per atom: 81
Energy relative to the elements in eV per atom: 0.136

=====

No. 10
The following is a DFT calculation (PBE) of CaOsCl2 after structural relaxation.

abc: 6.399 6.399 6.399
angles: 145.77 145.77 49.19
Site moments in Bohr magnetons follow the coordinates.
Positions (direct):
Ca 0.750 0.250 0.500  -0.02
Os 0.500 0.500 0.000  1.60
Cl 0.000 0.000 0.000  0.05
Cl 0.250 0.750 0.500  0.01

Values from the calculation:
Volume in A^3/atom: 20.64
Energy in eV per atom: -4.16
Symmetry: I-4m2 (119)
E above lowest polymorph in meV per atom: 480

=====

No. 11
The following is a DFT calculation (PBE) of CrCu3Pt after structural relaxation.

abc: 4.671 4.671 4.671
angles: 90.00 90.00 90.00
Site moments in Bohr magnetons follow the coordinates.
Positions (direct):
Cr 0.500 0.500 0.500  4.06
Cu 0.000 0.500 0.000  0.02
Cu 0.000 0.000 0.500  -0.04
Cu 0.500 0.000 0.000  0.03
Pt 0.000 0.000 0.000  0.09

Values from the calculation:
Volume in A^3/atom: 20.39
Energy in eV per atom: -4.61
Symmetry: Pm-3m (221)
E above lowest polymorph in meV per atom: 0
Energy relative to the elements in eV per atom: 0.977

=====

No. 12
The following is a DFT calculation (PBE) of ScZnGa after structural relaxation.

abc: 5.824 4.288 5.557
angles: 67.28 101.85 68.10
Positions (direct):
Sc 0.689 0.085 0.808
Sc 0.195 0.228 0.017
Zn 0.667 0.409 0.181
Zn 0.157 0.577 0.358
Ga 0.246 0.878 0.668
Ga 0.711 0.744 0.467

Values from the calculation:
Volume in A^3/atom: 18.07
Energy in eV per atom: -3.92
Symmetry: P1 (1)
Energy relative to the elements in eV per atom: -0.377

=====

Q: Which formula does entry 4 have?
A: In2AgSe3

=====

Q: What is the volume in the second record?
A: 25.43 A^3/atom

=====

Q: The highest volume belongs to which entry?
A: Sm4Bi3C